Entry 1:
PBE-GGA KHfTl, optimized geometry; total DFT energy (no corrections) = -26.278 eV for the cell shown; energy above the lowest structure with this stoichiometry = 0 meV/atom; space group = P-1, No. 2; energy of formation from the pure elements = 0.093 eV/atom
1.0
3.398 0.000 0.000
0.007 4.110 0.000
1.533 0.005 13.942
K Hf Tl
2 2 2
direct
0.091 0.250 0.351
0.909 0.750 0.649
0.224 0.250 0.058
0.776 0.750 0.942
0.329 0.250 0.825
0.671 0.750 0.175

=====

Entry 2:
PBE-GGA KHfTl, optimized geometry; total DFT energy (no corrections) = -25.197 eV for the cell shown; energy above the lowest structure with this stoichiometry = 180 meV/atom; space group = P-1, No. 2; energy of formation from the pure elements = 0.273 eV/atom
1.0
3.234 0.000 0.000
1.610 6.765 0.000
0.061 3.097 8.282
K Hf Tl
2 2 2
direct
0.137 0.199 0.103
0.863 0.801 0.897
0.159 0.183 0.507
0.841 0.817 0.493
0.460 0.588 0.296
0.540 0.412 0.704

=====

Entry 3:
PBE-GGA KHfTl2, optimized geometry; total DFT energy (no corrections) = -14.083 eV for the cell shown; energy above the lowest structure with this stoichiometry = 0 meV/atom; space group = Fm-3m, No. 225; energy of formation from the pure elements = 0.425 eV/atom
1.0
0.000 3.815 3.815
3.815 0.000 3.815
3.815 3.815 0.000
K Hf Tl
1 1 2
direct
0.000 0.000 0.000
0.500 0.500 0.500
0.250 0.250 0.250
0.750 0.750 0.750

=====

Entry 4:
PBE-GGA KHfTl, optimized geometry; total DFT energy (no corrections) = -24.882 eV for the cell shown; energy above the lowest structure with this stoichiometry = 233 meV/atom; space group = P1, No. 1; energy of formation from the pure elements = 0.325 eV/atom
1.0
3.229 0.000 0.000
1.603 6.738 0.000
0.019 3.347 8.809
K Hf Tl
2 2 2
direct
0.000 0.000 0.000
0.156 0.607 0.756
0.308 0.386 0.211
0.987 0.025 0.386
0.410 0.179 0.613
0.677 0.641 0.367

=====

Entry 5:
PBE-GGA KHfTl, optimized geometry; total DFT energy (no corrections) = -47.894 eV for the cell shown; energy above the lowest structure with this stoichiometry = 388 meV/atom; space group = Pnma, No. 62; energy of formation from the pure elements = 0.481 eV/atom
1.0
13.803 0.000 0.000
0.000 5.916 0.000
0.000 0.000 5.333
K Hf Tl
4 4 4
direct
0.239 0.250 0.005
0.261 0.750 0.505
0.739 0.250 0.495
0.761 0.750 0.995
0.005 0.250 0.500
0.495 0.750 0.000
0.505 0.250 0.000
0.995 0.750 0.500
0.000 0.000 0.000
0.000 0.500 0.000
0.500 0.000 0.500
0.500 0.500 0.500

=====

Entry 6:
PBE-GGA KHfTl, optimized geometry; total DFT energy (no corrections) = -25.088 eV for the cell shown; energy above the lowest structure with this stoichiometry = 198 meV/atom; space group = P-1, No. 2; energy of formation from the pure elements = 0.291 eV/atom
1.0
4.553 0.000 0.000
2.274 4.626 0.000
0.176 2.681 11.360
K Hf Tl
2 2 2
direct
0.208 0.110 0.174
0.792 0.890 0.826
0.356 0.787 0.509
0.644 0.213 0.491
0.052 0.384 0.639
0.948 0.616 0.361

=====

Entry 7:
PBE-GGA KHfTl, optimized geometry; total DFT energy (no corrections) = -23.093 eV for the cell shown; energy above the lowest structure with this stoichiometry = 531 meV/atom; space group = P4/nmm, No. 129; energy of formation from the pure elements = 0.624 eV/atom
1.0
5.573 0.000 0.000
0.000 5.573 0.000
0.000 0.000 7.635
K Hf Tl
2 2 2
direct
0.250 0.250 0.130
0.750 0.750 0.870
0.250 0.250 0.593
0.750 0.750 0.407
0.250 0.750 0.500
0.750 0.250 0.500

=====

Entry 8:
PBE-GGA KHfTl, optimized geometry; total DFT energy (no corrections) = -48.400 eV for the cell shown; energy above the lowest structure with this stoichiometry = 346 meV/atom; space group = Pnma, No. 62; energy of formation from the pure elements = 0.439 eV/atom
1.0
9.060 0.000 0.000
0.000 4.826 0.000
0.000 0.000 8.608
K Hf Tl
4 4 4
direct
0.002 0.250 0.136
0.498 0.750 0.636
0.502 0.250 0.364
0.998 0.750 0.864
0.099 0.750 0.450
0.401 0.250 0.950
0.599 0.750 0.050
0.901 0.250 0.550
0.202 0.250 0.661
0.298 0.750 0.161
0.702 0.250 0.839
0.798 0.750 0.339

=====

Entry 9:
PBE-GGA KHfTl, optimized geometry; total DFT energy (no corrections) = -24.531 eV for the cell shown; energy above the lowest structure with this stoichiometry = 291 meV/atom; space group = Imma, No. 74; energy of formation from the pure elements = 0.384 eV/atom
1.0
-2.850 3.604 4.384
2.850 -3.604 4.384
2.850 3.604 -4.384
K Hf Tl
2 2 2
direct
0.390 0.140 0.250
0.610 0.860 0.750
0.000 0.000 0.500
0.000 0.500 0.000
0.000 0.500 0.500
0.500 0.500 0.000

=====

Entry 10:
PBE-GGA KHfTl, optimized geometry; total DFT energy (no corrections) = -18.274 eV for the cell shown; energy above the lowest structure with this stoichiometry = 1334 meV/atom; space group = P6_3/mmc, No. 194; energy of formation from the pure elements = 1.427 eV/atom
1.0
5.895 0.000 0.000
-2.948 5.106 0.000
0.000 0.000 11.081
K Hf Tl
2 2 2
direct
0.333 0.667 0.250
0.667 0.333 0.750
0.000 0.000 0.000
0.000 0.000 0.500
0.000 0.000 0.250
0.000 0.000 0.750

=====

Entry 11:
PBE-GGA KHfTl, optimized geometry; total DFT energy (no corrections) = -24.559 eV for the cell shown; energy above the lowest structure with this stoichiometry = 286 meV/atom; space group = Cm, No. 8; energy of formation from the pure elements = 0.379 eV/atom
1.0
4.198 -2.426 0.000
4.198 2.426 0.000
-2.821 0.000 11.684
K Hf Tl
2 2 2
direct
0.000 0.000 0.000
0.231 0.231 0.687
0.121 0.121 0.361
0.745 0.745 0.232
0.408 0.408 0.221
0.828 0.828 0.481

=====

Entry 12:
PBE-GGA KHfTl, optimized geometry; total DFT energy (no corrections) = -11.374 eV for the cell shown; energy above the lowest structure with this stoichiometry = 588 meV/atom; space group = P-6m2, No. 187; energy of formation from the pure elements = 0.681 eV/atom
1.0
5.528 0.000 0.000
-2.764 4.787 0.000
0.000 0.000 3.260
K Hf Tl
1 1 1
direct
0.000 0.000 0.000
0.667 0.333 0.500
0.333 0.667 0.500